Entry 1:
A plane-wave DFT calculation with PBE was carried out for an optimized crystal structure of MgZnP2O7.

Cell lengths 4.4862, 5.2369, 5.2478 Å; angles 103.68, 98.43, 98.41 degrees
Atoms (fractional coordinates):
Mg: 0.0000 0.0000 0.0000
Zn: 0.9998 0.6206 0.3802
P: 0.4076 0.5364 0.9009
P: 0.5930 0.0997 0.4641
O: 0.2164 0.7089 0.7704
O: 0.2263 0.3736 0.0502
O: 0.2847 0.9315 0.3063
O: 0.5004 0.3453 0.6554
O: 0.7160 0.6945 0.0687
O: 0.7749 0.9499 0.6263
O: 0.7843 0.2306 0.2922

Values from the calculation:
Space-group type: P1, No. 1
E in eV/cell: -72.997



Entry 2:
A plane-wave DFT calculation with PBE was carried out for an optimized crystal structure of Bi2Pt.

Cell lengths 5.5737, 7.1921, 7.1945 Å; angles 119.96, 90.01, 90.04 degrees
Atoms (fractional coordinates):
Bi: 0.2435 0.0105 0.1722
Bi: 0.2434 0.3278 0.8383
Bi: 0.2435 0.6617 0.4895
Bi: 0.7565 0.3383 0.5105
Bi: 0.7566 0.6722 0.1617
Bi: 0.7565 0.9895 0.8278
Pt: 0.4818 0.6666 0.8333
Pt: 0.5000 0.0000 0.5000
Pt: 0.5182 0.3334 0.1667

Values from the calculation:
Space-group type: P-1, No. 2
E in eV/cell: -44.374
Size of the total moment in μB per cell: 0.009



Entry 3:
A plane-wave DFT calculation with PBE was carried out for an optimized crystal structure of LaPr2Si2Sn2Pd4.

Cell lengths 13.3623, 13.3623, 13.3623 Å; angles 161.94, 160.70, 26.55 degrees
Atoms (fractional coordinates):
La: 0.0000 0.0000 0.0000
Pr: 0.3438 0.8438 0.5000
Pr: 0.6562 0.1562 0.5000
Si: 0.2011 0.7011 0.5000
Si: 0.7989 0.2989 0.5000
Sn: 0.4450 0.4450 0.0000
Sn: 0.5550 0.5550 0.0000
Pd: 0.1095 0.6095 0.5000
Pd: 0.2494 0.2494 0.0000
Pd: 0.7506 0.7506 0.0000
Pd: 0.8905 0.3905 0.5000

Values from the calculation:
Space-group type: Immm, No. 71
E in eV/cell: -63.767
Size of the total moment in μB per cell: 0.012



Entry 4:
A plane-wave DFT calculation with PBE was carried out for an optimized crystal structure of Pb2W4CN.

Cell lengths 3.2986, 3.2986, 13.4389 Å; angles 90.00, 90.00, 120.00 degrees
Atoms (fractional coordinates):
Pb: 0.3333 0.6667 0.2483
Pb: 0.6667 0.3333 0.7517
W: 0.3333 0.6667 0.5769
W: 0.3333 0.6667 0.9274
W: 0.6667 0.3333 0.0726
W: 0.6667 0.3333 0.4231
C: 0.0000 0.0000 0.5000
N: 0.0000 0.0000 0.0000

Values from the calculation:
Space-group type: P-3m1, No. 164
E in eV/cell: -72.372
Size of the total moment in μB per cell: 0.018



Entry 5:
A plane-wave DFT calculation with PBE was carried out for an optimized crystal structure of Nd2Y2CI2Br3.

Cell lengths 9.5796, 9.5796, 8.3199 Å; angles 102.58, 102.58, 23.58 degrees
Atoms (fractional coordinates):
Nd: 0.1378 0.1378 0.0746
Nd: 0.8622 0.8622 0.9254
Y: 0.4998 0.4998 0.1986
Y: 0.5002 0.5002 0.8014
C: 0.0000 0.0000 0.0000
I: 0.3316 0.3316 0.2008
I: 0.6684 0.6684 0.7992
Br: 0.0000 0.0000 0.5000
Br: 0.3450 0.3450 0.6533
Br: 0.6550 0.6550 0.3467

Values from the calculation:
Space-group type: C2/m, No. 12
Energy above the most stable polymorph in this dataset in meV/atom: 10
Size of the total moment in μB per cell: 0.011



Entry 6:
A plane-wave DFT calculation with PBE was carried out for an optimized crystal structure of LaGa2Ni.

Cell lengths 4.2622, 17.6929, 4.2392 Å; angles 90.00, 90.00, 90.00 degrees
Atoms (fractional coordinates):
La: 0.0000 0.1407 0.0000
La: 0.0000 0.8593 0.0000
La: 0.5000 0.3593 0.0000
La: 0.5000 0.6407 0.0000
Ga: 0.0000 0.0000 0.5000
Ga: 0.0000 0.2909 0.5000
Ga: 0.0000 0.5000 0.0000
Ga: 0.0000 0.7091 0.5000
Ga: 0.5000 0.0000 0.0000
Ga: 0.5000 0.2091 0.5000
Ga: 0.5000 0.5000 0.5000
Ga: 0.5000 0.7909 0.5000
Ni: 0.0000 0.4279 0.5000
Ni: 0.0000 0.5721 0.5000
Ni: 0.5000 0.0721 0.5000
Ni: 0.5000 0.9279 0.5000

Values from the calculation:
Space-group type: Cmmm, No. 65
E in eV/cell: -76.403
Size of the total moment in μB per cell: 0.025



Entry 7:
A plane-wave DFT calculation with PBE was carried out for an optimized crystal structure of K2SnAu2.

Cell lengths 6.5347, 6.5347, 8.2878 Å; angles 99.06, 99.06, 62.54 degrees
Atoms (fractional coordinates):
K: 0.0231 0.2720 0.1390
K: 0.2720 0.0231 0.6390
K: 0.7280 0.9769 0.3610
K: 0.9769 0.7280 0.8610
Sn: 0.4115 0.5885 0.2500
Sn: 0.5885 0.4115 0.7500
Au: 0.2156 0.5095 0.5018
Au: 0.4905 0.7844 0.9982
Au: 0.5095 0.2156 0.0018
Au: 0.7844 0.4905 0.4982

Values from the calculation:
Space-group type: C2/c, No. 15
E in eV/cell: -28.962



Entry 8:
A plane-wave DFT calculation with PBE was carried out for an optimized crystal structure of RbCuGeTeSe2.

Cell lengths 8.3840, 8.3840, 11.0415 Å; angles 90.00, 90.00, 153.99 degrees
Atoms (fractional coordinates):
Rb: 0.2428 0.7572 0.7500
Rb: 0.7572 0.2428 0.2500
Cu: 0.4485 0.5515 0.2500
Cu: 0.5515 0.4485 0.7500
Ge: 0.0000 0.0000 0.0000
Ge: 0.0000 0.0000 0.5000
Te: 0.0604 0.9396 0.2500
Te: 0.9396 0.0604 0.7500
Se: 0.3894 0.6106 0.0524
Se: 0.3894 0.6106 0.4476
Se: 0.6106 0.3894 0.5524
Se: 0.6106 0.3894 0.9476

Values from the calculation:
Space-group type: Cmcm, No. 63
E in eV/cell: -43.198



Entry 9:
A plane-wave DFT calculation with PBE was carried out for an optimized crystal structure of K2Na4Zr.

Cell lengths 12.4367, 7.4273, 5.6032 Å; angles 90.00, 93.02, 90.00 degrees
Atoms (fractional coordinates):
K: 0.1642 0.0000 0.0089
K: 0.3358 0.5000 0.9911
K: 0.6642 0.5000 0.0089
K: 0.8358 0.0000 0.9911
Na: 0.1225 0.2873 0.5117
Na: 0.1225 0.7127 0.5117
Na: 0.3775 0.2127 0.4883
Na: 0.3775 0.7873 0.4883
Na: 0.6225 0.2127 0.5117
Na: 0.6225 0.7873 0.5117
Na: 0.8775 0.2873 0.4883
Na: 0.8775 0.7127 0.4883
Zr: 0.0000 0.5000 0.0000
Zr: 0.5000 0.0000 0.0000

Values from the calculation:
Space-group type: C2/m, No. 12
E in eV/cell: -24.517
Size of the total moment in μB per cell: 7.143



Entry 10:
A plane-wave DFT calculation with PBE was carried out for an optimized crystal structure of Sc2TaPb.

Cell lengths 6.9895, 6.9895, 6.9895 Å; angles 90.00, 90.00, 90.00 degrees
Atoms (fractional coordinates):
Sc: 0.0000 0.0000 0.0000
Sc: 0.0000 0.5000 0.5000
Sc: 0.2500 0.2500 0.2500
Sc: 0.2500 0.7500 0.7500
Sc: 0.5000 0.0000 0.5000
Sc: 0.5000 0.5000 0.0000
Sc: 0.7500 0.2500 0.7500
Sc: 0.7500 0.7500 0.2500
Ta: 0.2500 0.2500 0.7500
Ta: 0.2500 0.7500 0.2500
Ta: 0.7500 0.2500 0.2500
Ta: 0.7500 0.7500 0.7500
Pb: 0.0000 0.0000 0.5000
Pb: 0.0000 0.5000 0.0000
Pb: 0.5000 0.0000 0.0000
Pb: 0.5000 0.5000 0.5000

Values from the calculation:
Space-group type: F-43m, No. 216
E in eV/cell: -109.318
Size of the total moment in μB per cell: 4.277



Entry 11:
A plane-wave DFT calculation with PBE was carried out for an optimized crystal structure of NiHgMoPb.

Cell lengths 7.5277, 7.5277, 7.5277 Å; angles 90.00, 90.00, 90.00 degrees
Atoms (fractional coordinates):
Ni: 0.0000 0.0000 0.0000
Ni: 0.0000 0.5000 0.5000
Ni: 0.5000 0.0000 0.5000
Ni: 0.5000 0.5000 0.0000
Hg: 0.0000 0.0000 0.5000
Hg: 0.0000 0.5000 0.0000
Hg: 0.5000 0.0000 0.0000
Hg: 0.5000 0.5000 0.5000
Mo: 0.2500 0.2500 0.2500
Mo: 0.2500 0.7500 0.7500
Mo: 0.7500 0.2500 0.7500
Mo: 0.7500 0.7500 0.2500
Pb: 0.2500 0.2500 0.7500
Pb: 0.2500 0.7500 0.2500
Pb: 0.7500 0.2500 0.2500
Pb: 0.7500 0.7500 0.7500

Values from the calculation:
Space-group type: F-43m, No. 216
Energy above the most stable polymorph in this dataset in meV/atom: 489
Size of the total moment in μB per cell: 15.980



Entry 12:
A plane-wave DFT calculation with PBE was carried out for an optimized crystal structure of PrMgGa.

Cell lengths 5.1525, 5.1525, 6.4019 Å; angles 90.00, 90.00, 120.00 degrees
Atoms (fractional coordinates):
Pr: 0.3333 0.6667 0.2500
Pr: 0.6667 0.3333 0.7500
Mg: 0.0000 0.0000 0.0000
Mg: 0.0000 0.0000 0.5000
Ga: 0.3333 0.6667 0.7500
Ga: 0.6667 0.3333 0.2500

Values from the calculation:
Space-group type: P6_3/mmc, No. 194
Energy above the most stable polymorph in this dataset in meV/atom: 34
Size of the total moment in μB per cell: 0.002



Entry 13:
A plane-wave DFT calculation with PBE was carried out for an optimized crystal structure of Pr3CdAg2Hg2Pd.

Cell lengths 4.0219, 8.0211, 8.0211 Å; angles 120.49, 90.00, 90.00 degrees
Atoms (fractional coordinates):
Pr: 0.0000 0.0000 0.0000
Pr: 0.0000 0.3764 0.7726
Pr: 0.0000 0.7726 0.3764
Cd: 0.5000 0.6369 0.6369
Ag: 0.5000 0.0405 0.7154
Ag: 0.5000 0.7154 0.0405
Hg: 0.5000 0.1207 0.3858
Hg: 0.5000 0.3858 0.1207
Pd: 0.0000 0.3857 0.3857

Values from the calculation:
Space-group type: Amm2, No. 38
Calculated formation energy in meV per atom: -443
Size of the total moment in μB per cell: 0.012



Entry 14:
A plane-wave DFT calculation with PBE was carried out for an optimized crystal structure of NdBeNO.

Cell lengths 3.5679, 3.5679, 7.5664 Å; angles 90.00, 90.00, 90.00 degrees
Atoms (fractional coordinates):
Nd: 0.2500 0.2500 0.1799
Nd: 0.7500 0.7500 0.8201
Be: 0.2500 0.7500 0.5000
Be: 0.7500 0.2500 0.5000
N: 0.2500 0.2500 0.5859
N: 0.7500 0.7500 0.4141
O: 0.2500 0.7500 0.0000
O: 0.7500 0.2500 0.0000

Values from the calculation:
Space-group type: P4/nmm, No. 129
Energy above the most stable polymorph in this dataset in meV/atom: 311
Size of the total moment in μB per cell: 0.001



Entry 15:
A plane-wave DFT calculation with PBE was carried out for an optimized crystal structure of NdUN3.

Cell lengths 5.9242, 5.9242, 5.9242 Å; angles 120.46, 90.03, 119.51 degrees
Atoms (fractional coordinates):
Nd: 0.2692 0.0192 0.2500
Nd: 0.7308 0.9808 0.7500
U: 0.0000 0.5000 0.5000
U: 0.5000 0.5000 0.0000
N: 0.1398 0.3898 0.7500
N: 0.3134 0.0000 0.8134
N: 0.3134 0.5000 0.3134
N: 0.6866 0.0000 0.1866
N: 0.6866 0.5000 0.6866
N: 0.8602 0.6102 0.2500

Values from the calculation:
Space-group type: Imma, No. 74
E in eV/cell: -96.043
Size of the total moment in μB per cell: 0.000



Entry 16:
A plane-wave DFT calculation with PBE was carried out for an optimized crystal structure of AlCdCoAu.

Cell lengths 6.3252, 6.3252, 6.3252 Å; angles 90.00, 90.00, 90.00 degrees
Atoms (fractional coordinates):
Al: 0.0000 0.0000 0.0000
Al: 0.0000 0.5000 0.5000
Al: 0.5000 0.0000 0.5000
Al: 0.5000 0.5000 0.0000
Cd: 0.0000 0.0000 0.5000
Cd: 0.0000 0.5000 0.0000
Cd: 0.5000 0.0000 0.0000
Cd: 0.5000 0.5000 0.5000
Co: 0.2500 0.2500 0.2500
Co: 0.2500 0.7500 0.7500
Co: 0.7500 0.2500 0.7500
Co: 0.7500 0.7500 0.2500
Au: 0.2500 0.2500 0.7500
Au: 0.2500 0.7500 0.2500
Au: 0.7500 0.2500 0.2500
Au: 0.7500 0.7500 0.7500

Values from the calculation:
Space-group type: F-43m, No. 216
Energy above the most stable polymorph in this dataset in meV/atom: 0
Size of the total moment in μB per cell: 4.239



Entry 17:
A plane-wave DFT calculation with PBE was carried out for an optimized crystal structure of ScFe2.

Cell lengths 5.5456, 5.5456, 10.0873 Å; angles 90.00, 90.00, 120.00 degrees
Atoms (fractional coordinates):
Sc: 0.0000 0.0000 0.0000
Sc: 0.0000 0.0000 0.3333
Sc: 0.0000 0.0000 0.6667
Sc: 0.0000 0.5000 0.6667
Sc: 0.5000 0.0000 0.0000
Sc: 0.5000 0.5000 0.3333
Fe: 0.0000 0.5000 0.3869
Fe: 0.0000 0.5000 0.9464
Fe: 0.2179 0.6089 0.1667
Fe: 0.3911 0.6089 0.8333
Fe: 0.3911 0.7821 0.5000
Fe: 0.5000 0.0000 0.2798
Fe: 0.5000 0.0000 0.7202
Fe: 0.5000 0.5000 0.0536
Fe: 0.5000 0.5000 0.6131
Fe: 0.6089 0.2179 0.5000
Fe: 0.6089 0.3911 0.8333
Fe: 0.7821 0.3911 0.1667

Values from the calculation:
Space-group type: P6_222, No. 180
Calculated formation energy in meV per atom: 276
Size of the total moment in μB per cell: 5.710



Entry 18:
A plane-wave DFT calculation with PBE was carried out for an optimized crystal structure of Pr2Co.

Cell lengths 6.1527, 6.1527, 6.1527 Å; angles 60.00, 60.00, 60.00 degrees
Atoms (fractional coordinates):
Pr: 0.0000 0.0000 0.0000
Pr: 0.0000 0.0000 0.5000
Pr: 0.0000 0.5000 0.0000
Pr: 0.5000 0.0000 0.0000
Co: 0.3750 0.3750 0.3750
Co: 0.6250 0.6250 0.6250

Values from the calculation:
Space-group type: Fd-3m, No. 227
Calculated formation energy in meV per atom: 1236
Size of the total moment in μB per cell: 0.281



Entry 19:
A plane-wave DFT calculation with PBE was carried out for an optimized crystal structure of ErZrGa2Pd4.

Cell lengths 4.3579, 4.3579, 8.8426 Å; angles 90.00, 90.00, 120.00 degrees
Atoms (fractional coordinates):
Er: 0.0000 0.0000 0.0000
Zr: 0.3333 0.6667 0.5000
Ga: 0.6667 0.3333 0.2621
Ga: 0.6667 0.3333 0.7379
Pd: 0.0000 0.0000 0.3408
Pd: 0.0000 0.0000 0.6592
Pd: 0.3333 0.6667 0.1723
Pd: 0.3333 0.6667 0.8277

Values from the calculation:
Space-group type: P-6m2, No. 187
E in eV/cell: -46.436
Size of the total moment in μB per cell: 0.020



Entry 20:
A plane-wave DFT calculation with PBE was carried out for an optimized crystal structure of Na4In2IrAu.

Cell lengths 4.8570, 4.8570, 6.9262 Å; angles 90.00, 90.00, 90.00 degrees
Atoms (fractional coordinates):
Na: 0.0000 0.0000 0.0000
Na: 0.0000 0.5000 0.2481
Na: 0.5000 0.0000 0.7519
Na: 0.5000 0.5000 0.5000
In: 0.0000 0.5000 0.7228
In: 0.5000 0.0000 0.2772
Ir: 0.0000 0.0000 0.5000
Au: 0.5000 0.5000 0.0000

Values from the calculation:
Space-group type: P-4m2, No. 115
E in eV/cell: -23.394
Size of the total moment in μB per cell: 0.006